VASP calculation (GGA-PBE) on a relaxed Na2MnFe crystal.

## Properties
As for the formation energy: 1.04 eV/atom. Its size of the total moment is 1.773 μB/atom.

Structure (POSCAR):
```
Na2MnFe
1.0
0.0000 3.4710 3.4710
3.4710 0.0000 3.4710
3.4710 3.4710 0.0000
Na Mn Fe
2 1 1
Cartesian
1.7355 1.7355 1.7355 Na
5.2065 5.2065 5.2065 Na
0.0000 0.0000 0.0000 Mn
3.4710 3.4710 3.4710 Fe
```